(1)
VASP calculation (GGA-PBE) on crystalline LaIn6Ni3 at its relaxed geometry.

## Properties
- Polymorph energy (0 for the lowest one): 0.0000 eV/atom

abc: 4.415 7.631 12.196
angles: 90.00 90.00 90.00
Sites, in units of the cell vectors:
In1 0.250 0.250 0.012
In2 0.750 0.043 0.161
In3 0.750 0.457 0.161
In4 0.250 0.750 0.251
In5 0.750 0.552 0.416
In6 0.750 0.948 0.416
In7 0.250 0.052 0.584
In8 0.250 0.448 0.584
In9 0.750 0.250 0.749
In10 0.250 0.543 0.839
In11 0.250 0.957 0.839
In12 0.750 0.750 0.988
La1 0.250 0.250 0.322
La2 0.750 0.750 0.678
Ni1 0.250 0.576 0.066
Ni2 0.250 0.924 0.066
Ni3 0.250 0.750 0.466
Ni4 0.750 0.250 0.534
Ni5 0.750 0.076 0.934
Ni6 0.750 0.424 0.934

(2)
VASP calculation (GGA-PBE) on crystalline LaIn2Ni at its relaxed geometry.

## Properties
- Raw total energy: -4.42 eV/atom

abc: 9.741 9.741 4.433
angles: 90.00 90.00 152.86
Sites, in units of the cell vectors:
In1 0.000 0.000 0.000
In2 0.794 0.206 0.500
In3 0.500 0.500 0.500
In4 0.206 0.794 0.500
La1 0.640 0.360 0.000
La2 0.360 0.640 0.000
Ni1 0.928 0.072 0.500
Ni2 0.072 0.928 0.500

(3)
VASP calculation (GGA-PBE) on crystalline LaIn2Ni9 at its relaxed geometry.

## Properties
- Raw total energy: -5.26 eV/atom

abc: 8.308 8.308 4.861
angles: 90.00 90.00 90.00
Last column: magnetic moment on the atom in μB.
Sites, in units of the cell vectors:
In1 0.376 0.124 0.000  0.00
In2 0.876 0.376 0.000  0.00
In3 0.124 0.624 0.000  0.00
In4 0.624 0.876 0.000  0.00
La1 0.000 0.000 0.000  -0.01
La2 0.500 0.500 0.000  -0.01
Ni1 0.676 0.176 0.250  0.09
Ni2 0.176 0.324 0.250  0.08
Ni3 0.824 0.676 0.250  0.08
Ni4 0.324 0.824 0.250  0.09
Ni5 0.500 0.000 0.500  0.04
Ni6 0.210 0.065 0.500  0.11
Ni7 0.935 0.210 0.500  0.08
Ni8 0.435 0.290 0.500  0.09
Ni9 0.710 0.435 0.500  0.11
Ni10 0.000 0.500 0.500  0.04
Ni11 0.290 0.565 0.500  0.11
Ni12 0.565 0.710 0.500  0.09
Ni13 0.065 0.790 0.500  0.08
Ni14 0.790 0.935 0.500  0.11
Ni15 0.676 0.176 0.750  0.09
Ni16 0.176 0.324 0.750  0.08
Ni17 0.824 0.676 0.750  0.08
Ni18 0.324 0.824 0.750  0.09

(4)
VASP calculation (GGA-PBE) on crystalline La2InNi2 at its relaxed geometry.

## Properties
- Raw total energy: -5.21 eV/atom

abc: 7.593 15.470 3.908
angles: 90.00 90.00 90.00
Sites, in units of the cell vectors:
In1 0.925 0.129 0.500
In2 0.425 0.371 0.500
In3 0.575 0.629 0.500
In4 0.075 0.871 0.500
La1 0.253 0.035 0.000
La2 0.607 0.216 0.000
La3 0.107 0.284 0.000
La4 0.753 0.465 0.000
La5 0.247 0.535 0.000
La6 0.893 0.716 0.000
La7 0.393 0.784 0.000
La8 0.747 0.965 0.000
Ni1 0.557 0.074 0.500
Ni2 0.305 0.181 0.500
Ni3 0.805 0.319 0.500
Ni4 0.057 0.426 0.500
Ni5 0.943 0.574 0.500
Ni6 0.195 0.681 0.500
Ni7 0.695 0.819 0.500
Ni8 0.443 0.926 0.500

(5)
VASP calculation (GGA-PBE) on crystalline LaPrIn2Ni4 at its relaxed geometry.

## Properties
- Polymorph energy (0 for the lowest one): 0.0000 eV/atom

abc: 4.104 5.270 7.204
angles: 90.00 90.00 90.00
Sites, in units of the cell vectors:
In1 0.500 0.500 0.343
In2 0.500 0.000 0.658
La1 0.000 0.000 0.272
Ni1 0.000 0.500 0.109
Ni2 0.000 0.000 0.892
Ni3 0.500 0.250 0.000
Ni4 0.500 0.750 0.000
Pr1 0.000 0.500 0.726

(6)
VASP calculation (GGA-PBE) on crystalline La2PrIn3Ni3 at its relaxed geometry.

## Properties
- Raw total energy: -4.87 eV/atom

abc: 4.012 7.609 7.609
angles: 120.37 90.00 90.00
Sites, in units of the cell vectors:
In1 0.500 0.247 0.247
In2 0.500 0.997 0.755
In3 0.500 0.755 0.997
La1 0.000 0.999 0.415
La2 0.000 0.415 0.999
Ni1 0.000 0.001 0.001
Ni2 0.500 0.667 0.331
Ni3 0.500 0.331 0.667
Pr1 0.000 0.586 0.586

(7)
VASP calculation (GGA-PBE) on crystalline LaPrIn2Ni4 at its relaxed geometry.

## Properties
- Polymorph energy (0 for the lowest one): 0.0555 eV/atom

abc: 4.457 4.457 9.144
angles: 90.00 90.00 120.00
Sites, in units of the cell vectors:
In1 0.667 0.333 0.246
In2 0.667 0.333 0.754
La1 0.000 0.000 0.500
Ni1 0.000 0.000 0.189
Ni2 0.333 0.667 0.312
Ni3 0.333 0.667 0.688
Ni4 0.000 0.000 0.811
Pr1 0.333 0.667 0.000

(8)
VASP calculation (GGA-PBE) on crystalline La2In2NiPt3 at its relaxed geometry.

## Properties
- Raw total energy: -5.68 eV/atom

abc: 4.639 4.639 9.356
angles: 90.00 90.00 120.00
Sites, in units of the cell vectors:
In1 0.333 0.667 0.501
In2 0.333 0.667 0.992
La1 0.000 0.000 0.247
La2 0.667 0.333 0.751
Ni1 0.000 0.000 0.927
Pt1 0.667 0.333 0.072
Pt2 0.667 0.333 0.415
Pt3 0.000 0.000 0.594

Number 1: magnetization 0.00 μB/f.u.. Number 2: magnetization 0.00 μB/f.u.. Number 3: magnetization 0.72 μB/f.u.. Number 4: magnetization 0.00 μB/f.u.. Number 5: magnetization 0.00 μB/f.u.. Number 6: magnetization 0.00 μB/f.u.. Number 7: magnetization 0.00 μB/f.u.. Number 8: magnetization 0.00 μB/f.u..